{
  "formula": "Li4Mn3Ni3Te2O16",
  "functional": "PBE with a Hubbard U",
  "state": "relaxed",
  "cell": [[-1.701, 2.999, -4.858], [-5.772, 1.150, -0.919], [0.737, 8.452, 4.728]],
  "species": ["Ni", "Ni", "Ni", "O", "O", "O", "O", "O", "O", "O", "O", "O", "O", "O", "O", "O", "O", "O", "O", "Mn", "Mn", "Mn", "Li", "Li", "Li", "Li", "Te", "Te"],
  "frac_coords": [[0.827, 0.827, 0.786], [0.173, 0.662, 0.289], [0.662, 0.173, 0.289], [0.167, 0.662, 0.911], [0.835, 0.835, 0.416], [0.513, 0.960, 0.650], [0.011, 0.011, 0.204], [0.480, 0.480, 0.144], [0.470, 0.036, 0.154], [0.326, 0.326, 0.388], [0.654, 0.654, 0.886], [0.036, 0.470, 0.154], [0.177, 0.177, 0.913], [0.344, 0.843, 0.404], [0.960, 0.513, 0.650], [0.007, 0.007, 0.703], [0.662, 0.167, 0.911], [0.843, 0.344, 0.404], [0.515, 0.515, 0.634], [0.829, 0.338, 0.788], [0.174, 0.174, 0.286], [0.338, 0.829, 0.788], [0.329, 0.329, 0.585], [0.001, 0.001, 0.018], [0.001, 0.001, 0.512], [0.661, 0.661, 0.092], [0.671, 0.671, 0.514], [0.336, 0.336, 0.018]]
}



{
  "formula": "Li2Ti2MnNiO8",
  "functional": "PBE with a Hubbard U",
  "state": "relaxed",
  "cell": [[-4.603, 3.640, 0.644], [-2.490, 0.619, 5.317], [0.682, 5.109, 2.995]],
  "species": ["O", "O", "O", "O", "O", "O", "O", "O", "Li", "Li", "Ni", "Ti", "Ti", "Mn"],
  "frac_coords": [[0.710, 0.260, 0.781], [0.736, 0.736, 0.784], [0.290, 0.740, 0.219], [0.264, 0.264, 0.216], [0.260, 0.710, 0.781], [0.252, 0.252, 0.785], [0.748, 0.748, 0.215], [0.740, 0.290, 0.219], [0.123, 0.123, 0.640], [0.877, 0.877, 0.360], [0.500, 0.500, 0.500], [0.000, 0.500, 0.000], [0.500, 0.000, 0.000], [0.500, 0.500, 0.000]]
}



{
  "formula": "Li4Ti3Mn3Ni2O16",
  "functional": "PBE with a Hubbard U",
  "state": "relaxed",
  "cell": [[5.860, 0.000, -0.009], [2.918, 5.082, -0.009], [0.006, 0.003, 9.673]],
  "species": ["Li", "Li", "Li", "Li", "O", "O", "O", "O", "O", "O", "O", "O", "O", "O", "O", "O", "O", "O", "O", "O", "Mn", "Mn", "Mn", "Ni", "Ni", "Ti", "Ti", "Ti"],
  "frac_coords": [[0.994, 0.994, 0.998], [0.337, 0.337, 0.390], [0.671, 0.671, 0.888], [0.995, 0.995, 0.499], [0.681, 0.156, 0.107], [0.518, 0.518, 0.330], [0.486, 0.036, 0.831], [0.996, 0.996, 0.314], [0.669, 0.669, 0.104], [0.841, 0.841, 0.609], [0.036, 0.486, 0.831], [0.337, 0.337, 0.607], [0.966, 0.521, 0.332], [0.840, 0.317, 0.606], [0.159, 0.159, 0.105], [0.156, 0.681, 0.107], [0.997, 0.997, 0.813], [0.317, 0.840, 0.606], [0.521, 0.966, 0.332], [0.483, 0.483, 0.830], [0.663, 0.169, 0.716], [0.169, 0.663, 0.716], [0.831, 0.831, 0.216], [0.666, 0.666, 0.490], [0.333, 0.333, 0.988], [0.169, 0.169, 0.713], [0.832, 0.338, 0.215], [0.338, 0.832, 0.215]]
}



{
  "formula": "Li4Ti3Mn2Ni3O16",
  "functional": "PBE with a Hubbard U",
  "state": "relaxed",
  "cell": [[2.915, 5.118, 0.014], [-2.915, 5.118, 0.014], [0.000, 0.294, 9.450]],
  "species": ["O", "O", "O", "O", "O", "O", "O", "O", "O", "O", "O", "O", "O", "O", "O", "O", "Mn", "Mn", "Ni", "Ni", "Ni", "Li", "Li", "Li", "Li", "Ti", "Ti", "Ti"],
  "frac_coords": [[0.524, 0.524, 0.657], [0.845, 0.346, 0.401], [0.181, 0.661, 0.903], [0.511, 0.959, 0.650], [0.006, 0.006, 0.695], [0.959, 0.511, 0.650], [0.038, 0.469, 0.150], [0.346, 0.845, 0.401], [0.661, 0.181, 0.903], [0.993, 0.993, 0.199], [0.656, 0.656, 0.900], [0.170, 0.170, 0.898], [0.839, 0.839, 0.408], [0.474, 0.474, 0.157], [0.335, 0.335, 0.390], [0.469, 0.038, 0.150], [0.337, 0.337, 0.019], [0.671, 0.671, 0.515], [0.829, 0.829, 0.788], [0.166, 0.659, 0.289], [0.659, 0.166, 0.289], [0.664, 0.664, 0.105], [0.001, 0.001, 0.506], [0.982, 0.982, 0.009], [0.338, 0.338, 0.599], [0.836, 0.340, 0.789], [0.167, 0.167, 0.284], [0.340, 0.836, 0.789]]
}



{
  "formula": "Li2MnV4NiO12",
  "functional": "PBE with a Hubbard U",
  "state": "relaxed",
  "cell": [[-0.147, -6.310, 2.936], [3.748, -3.876, -4.404], [5.058, -0.889, 2.389]],
  "species": ["Li", "Li", "O", "O", "O", "O", "O", "O", "O", "O", "O", "O", "O", "O", "V", "V", "V", "V", "Ni", "Mn"],
  "frac_coords": [[0.271, 0.729, 0.000], [0.716, 0.284, 0.500], [0.114, 0.649, 0.430], [0.601, 0.024, 0.072], [0.406, 0.299, 0.688], [0.992, 0.209, 0.590], [0.791, 0.008, 0.410], [0.984, 0.804, 0.893], [0.701, 0.594, 0.312], [0.976, 0.399, 0.928], [0.196, 0.016, 0.107], [0.641, 0.682, 0.806], [0.351, 0.886, 0.570], [0.318, 0.359, 0.194], [0.163, 0.391, 0.544], [0.375, 0.180, 0.017], [0.820, 0.625, 0.983], [0.609, 0.837, 0.456], [0.071, 0.929, 0.500], [0.905, 0.095, 0.000]]
}



Ordered total moment results: 17.0 5.0 13.0 10.0 9.0; unit μB/cell.
Ordered energy results: -164.22 -100.43 -194.89 -187.09 -140.46; unit eV/cell.